1.
A relaxed structure of Nd2NpPaSb4, computed with GGA-PBE. Values from VASP.

## Properties
The calculated volume comes out at 250 Å³/f.u. The value obtained for the formation energy without anion corrections is -0.759 eV per atom. The value obtained for the total DFT energy (no corrections) is -54.53 eV per formula unit.

```
&SYSTEM
  ibrav = 0, nat = 8, ntyp = 4
/
ATOMIC_SPECIES
Nd 144.24 Nd.upf
Pa 231.04 Pa.upf
Np 237.00 Np.upf
Sb 121.76 Sb.upf
CELL_PARAMETERS angstrom
-3.395 0.227 2.856
4.936 -0.108 5.876
-1.301 7.351 -2.130
ATOMIC_POSITIONS crystal
Nd 0.000 0.500 0.500
Nd 0.500 0.000 0.500
Pa 0.500 0.500 0.000
Np 0.000 0.000 0.000
Sb 0.000 0.745 0.241
Sb 0.000 0.255 0.759
Sb 0.500 0.249 0.241
Sb 0.500 0.751 0.759
```

***

2.
A relaxed structure of Ba2MgPd, computed with GGA-PBE. Values from VASP.

## Properties
Its energy of formation is -0.25 eV/atom. The calculated volume comes out at 141 Å³/f.u. The value obtained for the total DFT energy (no corrections) is -11.64 eV per formula unit.

```
&SYSTEM
  ibrav = 0, nat = 4, ntyp = 3
/
ATOMIC_SPECIES
Pd 106.42 Pd.upf
Ba 137.33 Ba.upf
Mg 24.30 Mg.upf
CELL_PARAMETERS angstrom
-2.263 -0.094 -3.390
0.272 -4.067 -0.069
-7.009 -0.549 4.693
ATOMIC_POSITIONS crystal
Pd 0.500 0.500 0.000
Ba 0.000 0.000 0.219
Ba 0.000 0.000 0.781
Mg 0.500 0.500 0.500
```

***

3.
A relaxed structure of BaZrP2, computed with GGA-PBE. Values from VASP.

## Properties
For the energy above the lowest structure with this stoichiometry, the calculation gives 130 kJ/mol of formula units. Its energy of formation is -0.78 eV/atom. The calculated volume comes out at 90 Å³/f.u. The value obtained for the total DFT energy (no corrections) is -24.41 eV per formula unit.

```
&SYSTEM
  ibrav = 0, nat = 4, ntyp = 3
/
ATOMIC_SPECIES
P 30.97 P.upf
Zr 91.22 Zr.upf
Ba 137.33 Ba.upf
CELL_PARAMETERS angstrom
-0.235 -3.449 -0.287
2.883 -0.036 -1.928
4.108 -0.794 6.159
ATOMIC_POSITIONS crystal
P 0.000 0.000 0.057
P 0.000 0.000 0.443
Zr 0.500 0.500 0.250
Ba 0.500 0.500 0.750
```